Compound: Zn2TeW
Source: Alexandria via LeMat-Bulk
Functional: PBE
Structure: optimized geometry

Calculated values
E: -0.281 Ry per atom
uncorrected formation energy: 835.4 meV/atom
theoretical density: 9.3 g cm⁻³
space group: I-42d (122)
spin magnetization: 0.00 μB per atom

a b c (Å): 7.688 7.688 6.058
angles (deg): 50.61 50.61 90.00
Positions (direct):
W1 0.750 0.250 0.500
W2 0.000 0.000 0.000
Zn1 0.375 0.351 0.750
Zn2 0.101 0.625 0.250
Zn3 0.649 0.125 0.250
Zn4 0.875 0.899 0.750
Te1 0.250 0.750 0.500
Te2 0.500 0.500 0.000

Compound: KNbCr3
Source: Alexandria via LeMat-Bulk
Functional: PBE
Structure: optimized geometry

Calculated values
E: -0.483 Ry per atom
E_form: 1.437 eV/atom
distance to the lowest polymorph of the same formula: 0.000 kcal/mol of atoms
theoretical density: 3.9 g cm⁻³
space group: Pm-3m (221)
spin magnetization: 1.96 μB per atom

a b c (Å): 4.988 4.988 4.988
angles (deg): 90.00 90.00 90.00
Each line ends with the local moment (μB).
Positions (direct):
Cr1 0.500 0.000 0.000  -3.54
Cr2 0.000 0.000 0.500  -2.98
Cr3 0.000 0.500 0.000  -3.24
K1 0.500 0.500 0.500  -0.02
Nb1 0.000 0.000 0.000  1.07

Compound: Lu5Rh3
Source: Alexandria via LeMat-Bulk
Functional: PBE
Structure: optimized geometry

Calculated values
E: -0.470 Ry per atom
E_form: -0.811 eV/atom
theoretical density: 11.2 g cm⁻³
space group: P6_3/mcm (193)
spin magnetization: 0.00 μB per atom

a b c (Å): 8.117 8.117 6.129
angles (deg): 90.00 90.00 120.00
Positions (direct):
Lu1 0.333 0.667 0.000
Lu2 0.000 0.253 0.250
Lu3 0.667 0.333 0.000
Lu4 0.333 0.667 0.500
Lu5 0.000 0.747 0.750
Lu6 0.253 0.000 0.250
Lu7 0.747 0.747 0.250
Lu8 0.253 0.253 0.750
Lu9 0.667 0.333 0.500
Lu10 0.747 0.000 0.750
Rh1 0.604 0.604 0.750
Rh2 0.000 0.604 0.250
Rh3 0.396 0.396 0.250
Rh4 0.000 0.396 0.750
Rh5 0.396 0.000 0.750
Rh6 0.604 0.000 0.250

Compound: NbVRe
Source: Alexandria via LeMat-Bulk
Functional: PBE
Structure: optimized geometry

Calculated values
E: -0.764 Ry per atom
E_form: 0.145 eV/atom
distance to the lowest polymorph of the same formula: 9.023 kcal/mol of atoms
theoretical density: 11.5 g cm⁻³
space group: Cmcm (63)
spin magnetization: 0.00 μB per atom

a b c (Å): 4.480 4.723 5.116
angles (deg): 90.00 90.00 118.32
Positions (direct):
Re1 0.328 0.656 0.250
Re2 0.672 0.344 0.750
V1 0.666 0.331 0.250
V2 0.334 0.669 0.750
Nb1 0.000 0.000 0.500
Nb2 0.000 0.000 0.000

Compound: CeGe3Ru5
Source: Alexandria via LeMat-Bulk
Functional: PBE
Structure: optimized geometry

Calculated values
E: -0.555 Ry per atom
E_form: -0.196 eV/atom
theoretical density: 9.7 g cm⁻³
space group: Cmcm (63)
spin magnetization: 0.04 μB per atom

a b c (Å): 3.028 6.941 14.341
angles (deg): 90.00 90.00 102.60
Each line ends with the local moment (μB).
Positions (direct):
Ge1 0.365 0.731 0.946  0.00
Ge2 0.635 0.269 0.446  0.00
Ge3 0.855 0.709 0.250  0.00
Ge4 0.145 0.291 0.750  0.00
Ge5 0.365 0.731 0.554  0.00
Ge6 0.635 0.269 0.054  0.00
Ru1 0.190 0.379 0.582  -0.02
Ru2 0.810 0.621 0.418  -0.02
Ru3 0.190 0.379 0.918  -0.02
Ru4 0.531 0.061 0.848  -0.04
Ru5 0.469 0.939 0.348  -0.04
Ru6 0.469 0.939 0.152  -0.04
Ru7 0.000 0.000 0.000  -0.01
Ru8 0.531 0.061 0.652  -0.04
Ru9 0.810 0.621 0.082  -0.02
Ru10 0.000 0.000 0.500  -0.01
Ce1 0.861 0.722 0.750  0.40
Ce2 0.139 0.278 0.250  0.40

Compound: TiZnCdN2
Source: Alexandria via LeMat-Bulk
Functional: PBE
Structure: optimized geometry

Calculated values
E: -0.247 Ry per atom
uncorrected formation energy: 1990.9 meV/atom
theoretical density: 4.7 g cm⁻³
space group: P4/mmm (123)
spin magnetization: 0.00 μB per atom

a b c (Å): 4.138 5.241 4.138
angles (deg): 90.00 90.00 90.00
Positions (direct):
Cd1 0.000 0.000 0.000
N1 0.500 0.000 0.000
N2 0.000 0.000 0.500
Ti1 0.000 0.500 0.000
Zn1 0.500 0.500 0.500

Compound: Ca2GaPtS
Source: Alexandria via LeMat-Bulk
Functional: PBE
Structure: optimized geometry

Calculated values
E: -0.300 Ry per atom
uncorrected formation energy: -644.9 meV/atom
distance to the lowest polymorph of the same formula: 0.000 kcal/mol of atoms
theoretical density: 4.9 g cm⁻³
space group: P4/mmm (123)
spin magnetization: 0.00 μB per atom

a b c (Å): 5.282 4.569 5.282
angles (deg): 90.00 90.00 90.00
Positions (direct):
Ca1 0.500 0.000 0.000
Ca2 0.000 0.000 0.500
Ga1 0.500 0.500 0.500
S1 0.000 0.000 0.000
Pt1 0.000 0.500 0.000

Compound: Dy2YRu9
Source: Alexandria via LeMat-Bulk
Functional: PBE
Structure: optimized geometry

Calculated values
E: -0.617 Ry per atom
E_form: -0.129 eV/atom
theoretical density: 10.5 g cm⁻³
space group: R-3m (166)
spin magnetization: 0.07 μB per atom

a b c (Å): 5.264 5.264 9.242
angles (deg): 73.45 73.45 60.00
Each line ends with the local moment (μB).
Positions (direct):
Ru1 0.413 0.413 0.248  0.02
Ru2 0.926 0.413 0.248  0.02
Ru3 0.500 0.500 0.500  0.04
Ru4 0.587 0.587 0.752  0.02
Ru5 0.662 0.662 0.013  0.30
Ru6 0.338 0.338 0.987  0.30
Ru7 0.413 0.926 0.248  0.02
Ru8 0.587 0.074 0.752  0.02
Ru9 0.074 0.587 0.752  0.02
Y1 0.000 0.000 0.000  0.00
Dy1 0.860 0.860 0.419  0.00
Dy2 0.140 0.140 0.581  0.00

Compound: CsTl2P2O7
Source: Alexandria via LeMat-Bulk
Functional: PBE
Structure: optimized geometry

Calculated values
E: -0.445 Ry per atom
uncorrected formation energy: -1795.8 meV/atom
theoretical density: 4.9 g cm⁻³
space group: R32 (155)
spin magnetization: 0.00 μB per atom

a b c (Å): 5.814 5.814 8.974
angles (deg): 71.10 71.10 60.00
Positions (direct):
O1 0.048 0.846 0.755
O2 0.952 0.649 0.245
O3 0.154 0.952 0.245
O4 0.000 0.000 0.000
O5 0.846 0.351 0.755
O6 0.351 0.048 0.755
O7 0.649 0.154 0.245
Tl1 0.303 0.303 0.092
Tl2 0.697 0.697 0.908
P1 0.065 0.065 0.805
P2 0.935 0.935 0.195
Cs1 0.500 0.500 0.500

Compound: MnPd2
Source: Alexandria via LeMat-Bulk
Functional: PBE
Structure: optimized geometry

Calculated values
E: -0.468 Ry per atom
E_form: 0.149 eV/atom
theoretical density: 10.5 g cm⁻³
space group: Pnma (62)
spin magnetization: 0.00 μB per atom

a b c (Å): 3.615 5.607 8.345
angles (deg): 90.00 90.00 90.00
Positions (direct):
Pd1 0.250 0.364 0.421
Pd2 0.250 0.864 0.079
Pd3 0.750 0.636 0.579
Pd4 0.750 0.136 0.921
Pd5 0.250 0.379 0.749
Pd6 0.750 0.121 0.249
Pd7 0.750 0.621 0.251
Pd8 0.250 0.879 0.751
Mn1 0.750 0.589 0.943
Mn2 0.250 0.911 0.443
Mn3 0.750 0.089 0.557
Mn4 0.250 0.411 0.057

Compound: CaTl2Se2O6
Source: Alexandria via LeMat-Bulk
Functional: PBE
Structure: optimized geometry

Calculated values
E: -0.386 Ry per atom
uncorrected formation energy: -1304.1 meV/atom
theoretical density: 5.1 g cm⁻³
space group: C2/m (12)
spin magnetization: 0.00 μB per atom

a b c (Å): 6.145 5.925 7.714
angles (deg): 105.81 90.00 121.24
Positions (direct):
Tl1 0.246 0.492 0.758
Tl2 0.754 0.508 0.242
O1 0.222 0.008 0.292
O2 0.786 0.008 0.292
O3 0.748 0.497 0.585
O4 0.252 0.503 0.415
O5 0.214 0.992 0.708
O6 0.778 0.992 0.708
Se1 0.093 0.185 0.242
Se2 0.907 0.815 0.758
Ca1 0.500 0.000 0.500

Compound: KFeCu2
Source: Alexandria via LeMat-Bulk
Functional: PBE
Structure: optimized geometry

Calculated values
E: -0.280 Ry per atom
E_form: 0.628 eV/atom
distance to the lowest polymorph of the same formula: 2.596 kcal/mol of atoms
theoretical density: 5.0 g cm⁻³
space group: P4mm (99)
spin magnetization: 0.72 μB per atom

a b c (Å): 3.071 3.071 7.880
angles (deg): 90.00 90.00 90.00
Each line ends with the local moment (μB).
Positions (direct):
Cu1 0.500 0.500 0.245  0.07
Cu2 0.000 0.000 0.087  0.01
K1 0.500 0.500 0.759  -0.02
Fe1 0.000 0.000 0.409  2.87

Compound: CePuPa4
Source: Alexandria via LeMat-Bulk
Functional: PBE
Structure: optimized geometry

Calculated values
E: -0.710 Ry per atom
E_form: 0.049 eV/atom
distance to the lowest polymorph of the same formula: 0.000 kcal/mol of atoms
theoretical density: 14.9 g cm⁻³
space group: C2/m (12)
spin magnetization: 0.84 μB per atom

a b c (Å): 4.998 5.012 6.432
angles (deg): 67.07 85.80 79.16
Each line ends with the local moment (μB).
Positions (direct):
Pa1 0.500 0.835 0.330  0.00
Pa2 0.000 0.332 0.335  0.00
Pa3 0.500 0.165 0.670  0.00
Pa4 0.000 0.668 0.665  0.00
Pu1 0.000 0.000 0.000  5.00
Ce1 0.500 0.500 0.000  -0.14

Compound: Ho3Th2In4
Source: Alexandria via LeMat-Bulk
Functional: PBE
Structure: optimized geometry

Calculated values
E: -0.339 Ry per atom
E_form: -0.220 eV/atom
theoretical density: 9.0 g cm⁻³
space group: Cmce (64)
spin magnetization: 0.00 μB per atom

a b c (Å): 6.886 8.890 9.245
angles (deg): 90.00 111.86 90.00
Positions (direct):
Ho1 0.030 0.750 0.560
Ho2 0.000 0.000 0.000
Ho3 0.500 0.500 0.000
Ho4 0.970 0.250 0.440
Ho5 0.470 0.250 0.440
Ho6 0.530 0.750 0.560
Th1 0.393 0.085 0.786
Th2 0.893 0.415 0.786
Th3 0.107 0.585 0.214
Th4 0.607 0.915 0.214
In1 0.323 0.453 0.645
In2 0.793 0.250 0.087
In3 0.823 0.047 0.645
In4 0.677 0.547 0.355
In5 0.293 0.250 0.087
In6 0.707 0.750 0.913
In7 0.177 0.953 0.355
In8 0.207 0.750 0.913

Compound: LaAgP
Source: Alexandria via LeMat-Bulk
Functional: PBE
Structure: optimized geometry

Calculated values
E: -0.355 Ry per atom
E_form: -0.434 eV/atom
theoretical density: 6.2 g cm⁻³
space group: F-43m (216)
spin magnetization: 0.00 μB per atom

a b c (Å): 4.714 4.714 4.714
angles (deg): 60.00 60.00 60.00
Positions (direct):
La1 0.000 0.000 0.000
P1 0.500 0.500 0.500
Ag1 0.250 0.250 0.250

Compound: AlTl2Au
Source: Alexandria via LeMat-Bulk
Functional: PBE
Structure: optimized geometry

Calculated values
E: -0.202 Ry per atom
E_form: 0.187 eV/atom
distance to the lowest polymorph of the same formula: 5.567 kcal/mol of atoms
theoretical density: 10.9 g cm⁻³
space group: I-4m2 (119)
spin magnetization: 0.00 μB per atom

a b c (Å): 5.564 5.564 5.564
angles (deg): 131.01 131.01 71.80
Positions (direct):
Al1 0.500 0.500 0.000
Au1 0.250 0.750 0.500
Tl1 0.750 0.250 0.500
Tl2 0.000 0.000 0.000

Compound: DyCd6
Source: Alexandria via LeMat-Bulk
Functional: PBE
Structure: optimized geometry

Calculated values
E: -0.071 Ry per atom
E_form: 0.476 eV/atom
distance to the lowest polymorph of the same formula: 13.315 kcal/mol of atoms
theoretical density: 6.1 g cm⁻³
space group: Im-3m (229)
spin magnetization: 0.00 μB per atom

a b c (Å): 6.672 6.672 6.672
angles (deg): 109.47 109.47 109.47
Positions (direct):
Cd1 0.500 0.750 0.250
Cd2 0.250 0.500 0.750
Cd3 0.750 0.250 0.500
Cd4 0.750 0.500 0.250
Cd5 0.500 0.250 0.750
Cd6 0.250 0.750 0.500
Dy1 0.000 0.000 0.000

Compound: Cr2ReRu2
Source: Alexandria via LeMat-Bulk
Functional: PBE
Structure: optimized geometry

Calculated values
E: -0.720 Ry per atom
E_form: 0.251 eV/atom
distance to the lowest polymorph of the same formula: 0.961 kcal/mol of atoms
theoretical density: 12.0 g cm⁻³
space group: P4/mbm (127)
spin magnetization: 0.00 μB per atom

a b c (Å): 7.111 7.111 2.695
angles (deg): 90.00 90.00 90.00
Positions (direct):
Ru1 0.131 0.369 0.000
Ru2 0.369 0.869 0.000
Ru3 0.631 0.131 0.000
Ru4 0.869 0.631 0.000
Cr1 0.333 0.167 0.500
Cr2 0.667 0.833 0.500
Cr3 0.833 0.333 0.500
Cr4 0.167 0.667 0.500
Re1 0.000 0.000 0.000
Re2 0.500 0.500 0.000

Compound: Mg3CuBr
Source: Alexandria via LeMat-Bulk
Functional: PBE
Structure: optimized geometry

Calculated values
E: -0.111 Ry per atom
uncorrected formation energy: 596.6 meV/atom
distance to the lowest polymorph of the same formula: 15.732 kcal/mol of atoms
theoretical density: 2.6 g cm⁻³
space group: Pm-3m (221)
spin magnetization: 0.00 μB per atom

a b c (Å): 5.156 5.156 5.156
angles (deg): 90.00 90.00 90.00
Positions (direct):
Mg1 0.000 0.000 0.500
Mg2 0.000 0.500 0.000
Mg3 0.500 0.000 0.000
Cu1 0.500 0.500 0.500
Br1 0.000 0.000 0.000

Compound: Np2TePt
Source: Alexandria via LeMat-Bulk
Functional: PBE
Structure: optimized geometry

Calculated values
E: -0.677 Ry per atom
uncorrected formation energy: -441.2 meV/atom
theoretical density: 12.2 g cm⁻³
space group: R-3m (166)
spin magnetization: 2.08 μB per atom

a b c (Å): 4.133 4.133 7.706
angles (deg): 74.44 74.44 60.00
Each line ends with the local moment (μB).
Positions (direct):
Np1 0.262 0.262 0.214  3.93
Np2 0.738 0.738 0.786  3.93
Te1 0.500 0.500 0.500  -0.09
Pt1 0.000 0.000 0.000  -0.12